(1)
A relaxed structure of KY2Zr. Source: the Alexandria database, functional PBE.

The structure belongs to space group F-43m (No. 216); the cell edges are 8.0512, 8.0512 and 8.0512 Å and the angles 90.00°, 90.00° and 90.00°. The asymmetric unit holds K at (0.0000, 0.0000, 0.0000), Y at (0.0000, 0.0000, 0.5000), Y at (0.2500, 0.2500, 0.7500) and Zr at (0.2500, 0.2500, 0.2500).

The value obtained for the density is 3.9 g cm⁻³. The volume comes out at 521.9 Å³/cell. Its energy above the most stable polymorph in this dataset is 0.552 eV/atom. As for the crystal system: cubic. The value obtained for the total magnetization is 0.4626 μB/atom. For the formation enthalpy at 0 K, the calculation gives 787 meV/atom.

***

(2)
A relaxed structure of KYZr2. Source: the Alexandria database, functional PBE.

The structure belongs to space group Pmmm (No. 47); the cell edges are 3.3595, 5.6459 and 6.0303 Å and the angles 90.00°, 90.00° and 90.00°. The asymmetric unit holds K at (0.0000, 0.0000, 0.0000), Y at (0.5000, 0.5000, 0.0000), Zr at (0.0000, 0.5000, 0.5000) and Zr at (0.5000, 0.0000, 0.5000).

The value obtained for the density is 4.5 g cm⁻³. The volume comes out at 114.4 Å³/cell. Its energy above the most stable polymorph in this dataset is 0.451 eV/atom. As for the crystal system: orthorhombic. The value obtained for the total magnetization is 0.1009 μB/atom. For the formation enthalpy at 0 K, the calculation gives 780 meV/atom.

***

(3)
A relaxed structure of KY2Zr. Source: the Alexandria database, functional PBE.

The structure belongs to space group Cmm2 (No. 35); the cell edges are 4.7946, 4.8051 and 11.8831 Å and the angles 90.00°, 90.00° and 90.00°. The asymmetric unit holds K at (0.0000, 0.0000, 0.0000), Y at (0.0000, 0.0000, 0.4677), Y at (0.0000, 0.5000, 0.6964) and Zr at (0.0000, 0.5000, 0.2809).

The value obtained for the density is 3.7 g cm⁻³. The volume comes out at 273.8 Å³/cell. Its energy above the most stable polymorph in this dataset is 0.155 eV/atom. As for the crystal system: orthorhombic. The value obtained for the total magnetization is 0.0000 μB/atom. For the formation enthalpy at 0 K, the calculation gives 390 meV/atom.

***

(4)
A relaxed structure of KY2Zr. Source: the Alexandria database, functional PBE.

The structure belongs to space group Immm (No. 71); the cell edges are 3.4710, 6.4869 and 12.0175 Å and the angles 90.00°, 90.00° and 90.00°. The asymmetric unit holds K at (0.0000, 0.0000, 0.0000), Y at (0.0000, 0.5000, 0.2218) and Zr at (0.0000, 0.0000, 0.5000).

The value obtained for the density is 3.8 g cm⁻³. The volume comes out at 270.6 Å³/cell. Its energy above the most stable polymorph in this dataset is 0.375 eV/atom. As for the crystal system: orthorhombic. The value obtained for the total magnetization is 0.0011 μB/atom. For the formation enthalpy at 0 K, the calculation gives 610 meV/atom.